## Ba2Hg2MoO6 (PBE+U)

Data for a relaxed Ba2Hg2MoO6 crystal.

## Properties
Electronic total energy, eV per atom: -5.293
Magnetic moment, μB per formula unit: 0.0
DOS at the Fermi energy, states/eV/cell: 2.3
Space-group type: C2/m

abc: 6.523 6.523 6.666
angles: 90.43 90.43 120.73
Element x y z (fractional)
Ba (0.164, 0.836, 0.000)
Ba (0.836, 0.164, 0.000)
Hg (0.369, 0.631, 0.500)
Hg (0.631, 0.369, 0.500)
Mo (0.500, 0.500, 0.000)
O (0.245, 0.245, 0.846)
O (0.253, 0.509, 0.170)
O (0.491, 0.747, 0.830)
O (0.509, 0.253, 0.170)
O (0.747, 0.491, 0.830)
O (0.755, 0.755, 0.154)